Entry 1:
{"formula": "LaSmMgCo", "functional": "PBE", "state": "relaxed", "e_form_ev_per_atom": 0.073, "lattice_angstrom": [[0.0000, 3.6842, 3.6842], [3.6842, 0.0000, 3.6842], [3.6842, 3.6842, 0.0000]], "species": ["La", "Sm", "Mg", "Co"], "fractional_positions": [[0.0000, 0.0000, 0.0000], [0.5000, 0.5000, 0.5000], [0.2500, 0.2500, 0.2500], [0.7500, 0.7500, 0.7500]]}

=====

Entry 2:
{"formula": "LaMgCo2Sn", "functional": "PBE", "state": "relaxed", "e_form_ev_per_atom": 0.893, "lattice_angstrom": [[4.6823, 0.0000, 0.0000], [0.0000, 4.6823, 0.0000], [0.0000, 0.0000, 5.5656]], "species": ["La", "Mg", "Co", "Co", "Sn"], "fractional_positions": [[0.0000, 0.0000, 0.0000], [0.0000, 0.0000, 0.5000], [0.0000, 0.5000, 0.5000], [0.5000, 0.0000, 0.5000], [0.5000, 0.5000, 0.0000]]}

=====

Entry 3:
{"formula": "LaMg2CoSn", "functional": "PBE", "state": "relaxed", "e_form_ev_per_atom": -0.195, "lattice_angstrom": [[4.8740, 0.0000, 0.0000], [0.0000, 4.8740, 0.0000], [0.0000, 0.0000, 4.8912]], "species": ["La", "Mg", "Mg", "Co", "Sn"], "fractional_positions": [[0.0000, 0.0000, 0.0000], [0.0000, 0.5000, 0.5000], [0.5000, 0.0000, 0.5000], [0.5000, 0.5000, 0.5000], [0.5000, 0.5000, 0.0000]]}

=====

Entry 4:
{"formula": "LaMgCoSn2", "functional": "PBE", "state": "relaxed", "e_form_ev_per_atom": -0.272, "lattice_angstrom": [[4.9613, 0.0000, 0.0000], [0.0000, 4.9613, 0.0000], [0.0000, 0.0000, 4.8327]], "species": ["La", "Mg", "Co", "Sn", "Sn"], "fractional_positions": [[0.0000, 0.0000, 0.0000], [0.5000, 0.5000, 0.0000], [0.5000, 0.5000, 0.5000], [0.0000, 0.5000, 0.5000], [0.5000, 0.0000, 0.5000]]}

=====

Entry 5:
{"formula": "La2MgCoSn", "functional": "PBE", "state": "relaxed", "relative_energy_mev_per_atom": 67.2, "e_form_ev_per_atom": -0.302, "lattice_angstrom": [[5.3085, 0.0000, 0.0000], [0.0000, 5.3085, 0.0000], [0.0000, 0.0000, 4.9722]], "species": ["La", "La", "Mg", "Co", "Sn"], "fractional_positions": [[0.0000, 0.5000, 0.0000], [0.5000, 0.0000, 0.0000], [0.0000, 0.0000, 0.5000], [0.5000, 0.5000, 0.0000], [0.5000, 0.5000, 0.5000]]}

=====

Entry 6:
{"formula": "La2MgCoSn", "functional": "PBE", "state": "relaxed", "relative_energy_mev_per_atom": 0.0, "e_form_ev_per_atom": -0.369, "lattice_angstrom": [[5.1909, 0.0000, 0.0000], [0.0000, 5.1909, 0.0000], [0.0000, 0.0000, 5.0250]], "species": ["La", "La", "Mg", "Co", "Sn"], "fractional_positions": [[0.0000, 0.5000, 0.0000], [0.5000, 0.0000, 0.0000], [0.0000, 0.0000, 0.5000], [0.0000, 0.0000, 0.0000], [0.5000, 0.5000, 0.5000]]}

=====

Entry 7:
{"formula": "Sr2LaMgCo", "functional": "PBE", "state": "relaxed", "relative_energy_mev_per_atom": 260.1, "e_form_ev_per_atom": 0.358, "lattice_angstrom": [[5.6263, 0.0000, 0.0000], [0.0000, 5.6263, 0.0000], [0.0000, 0.0000, 5.2646]], "species": ["Sr", "Sr", "La", "Mg", "Co"], "fractional_positions": [[0.0000, 0.5000, 0.0000], [0.5000, 0.0000, 0.0000], [0.0000, 0.0000, 0.5000], [0.5000, 0.5000, 0.5000], [0.5000, 0.5000, 0.0000]]}

=====

Entry 8:
{"formula": "SrLaMg2Co", "functional": "PBE", "state": "relaxed", "e_form_ev_per_atom": -0.063, "lattice_angstrom": [[5.3194, 0.0000, 0.0000], [0.0000, 5.3194, 0.0000], [0.0000, 0.0000, 4.9790]], "species": ["Sr", "La", "Mg", "Mg", "Co"], "fractional_positions": [[0.0000, 0.0000, 0.0000], [0.5000, 0.5000, 0.0000], [0.0000, 0.5000, 0.5000], [0.5000, 0.0000, 0.5000], [0.5000, 0.5000, 0.5000]]}

=====

Entry 9:
{"formula": "SrLa2MgCo", "functional": "PBE", "state": "relaxed", "relative_energy_mev_per_atom": 37.8, "e_form_ev_per_atom": -0.008, "lattice_angstrom": [[5.2834, 0.0000, 0.0000], [0.0000, 5.2834, 0.0000], [0.0000, 0.0000, 6.0131]], "species": ["Sr", "La", "La", "Mg", "Co"], "fractional_positions": [[0.0000, 0.0000, 0.0000], [0.0000, 0.5000, 0.5000], [0.5000, 0.0000, 0.5000], [0.5000, 0.5000, 0.0000], [0.0000, 0.0000, 0.5000]]}

=====

Entry 10:
{"formula": "SrLa2MgCo", "functional": "PBE", "state": "relaxed", "relative_energy_mev_per_atom": 0.0, "e_form_ev_per_atom": -0.046, "lattice_angstrom": [[5.4008, 0.0000, 0.0000], [0.0000, 5.4008, 0.0000], [0.0000, 0.0000, 5.4479]], "species": ["Sr", "La", "La", "Mg", "Co"], "fractional_positions": [[0.0000, 0.0000, 0.0000], [0.0000, 0.5000, 0.5000], [0.5000, 0.0000, 0.5000], [0.5000, 0.5000, 0.0000], [0.5000, 0.5000, 0.5000]]}

=====

Entry 11:
{"formula": "Sr2LaMgCo", "functional": "PBE", "state": "relaxed", "relative_energy_mev_per_atom": 0.0, "e_form_ev_per_atom": 0.098, "lattice_angstrom": [[5.9178, 0.0000, 0.0000], [0.0000, 5.9178, 0.0000], [0.0000, 0.0000, 5.1080]], "species": ["Sr", "Sr", "La", "Mg", "Co"], "fractional_positions": [[0.0000, 0.5000, 0.0000], [0.5000, 0.0000, 0.0000], [0.0000, 0.0000, 0.5000], [0.5000, 0.5000, 0.5000], [0.0000, 0.0000, 0.0000]]}

=====

Entry 12:
{"formula": "La6Mg2CoTc", "functional": "PBE", "state": "relaxed", "e_form_ev_per_atom": -0.058, "lattice_angstrom": [[7.7213, 0.0000, 0.0000], [-3.8337, 6.7068, 0.0000], [-0.0202, -4.4584, 6.3173]], "species": ["La", "La", "La", "La", "La", "La", "Mg", "Mg", "Co", "Tc"], "fractional_positions": [[0.0000, 0.0000, 0.0000], [0.0012, 0.0044, 0.5080], [0.0081, 0.5014, 0.0060], [0.5054, 0.9991, 0.0040], [0.5061, 0.5107, 0.5062], [0.5072, 0.0057, 0.5064], [0.0059, 0.5000, 0.5033], [0.5038, 0.5039, 0.0053], [0.7525, 0.0071, 0.7567], [0.2380, 0.0414, 0.2750]]}

=====

Entry 13:
{"formula": "La2MgCoTe", "functional": "PBE", "state": "relaxed", "formation_energy_uncorrected_ev_per_atom": -0.635, "lattice_angstrom": [[5.2057, 0.0000, 0.0000], [0.0000, 5.2057, 0.0000], [0.0000, 0.0000, 4.9840]], "species": ["La", "La", "Mg", "Co", "Te"], "fractional_positions": [[0.0000, 0.5000, 0.0000], [0.5000, 0.0000, 0.0000], [0.0000, 0.0000, 0.5000], [0.0000, 0.0000, 0.0000], [0.5000, 0.5000, 0.5000]]}

=====

Entry 14:
{"formula": "La2MgTlCo", "functional": "PBE", "state": "relaxed", "relative_energy_mev_per_atom": 0.0, "e_form_ev_per_atom": -0.232, "lattice_angstrom": [[5.2213, 0.0000, 0.0000], [0.0000, 5.2213, 0.0000], [0.0000, 0.0000, 5.0843]], "species": ["La", "La", "Mg", "Tl", "Co"], "fractional_positions": [[0.0000, 0.5000, 0.0000], [0.5000, 0.0000, 0.0000], [0.0000, 0.0000, 0.5000], [0.5000, 0.5000, 0.5000], [0.0000, 0.0000, 0.0000]]}

=====

Entry 15:
{"formula": "La2MgTlCo", "functional": "PBE", "state": "relaxed", "relative_energy_mev_per_atom": 78.1, "e_form_ev_per_atom": -0.154, "lattice_angstrom": [[5.2549, 0.0000, 0.0000], [0.0000, 5.2549, 0.0000], [0.0000, 0.0000, 5.1540]], "species": ["La", "La", "Mg", "Tl", "Co"], "fractional_positions": [[0.0000, 0.5000, 0.0000], [0.5000, 0.0000, 0.0000], [0.0000, 0.0000, 0.5000], [0.5000, 0.5000, 0.5000], [0.5000, 0.5000, 0.0000]]}

=====

Entry 16:
{"formula": "LaMg2TlCo", "functional": "PBE", "state": "relaxed", "relative_energy_mev_per_atom": 51.3, "e_form_ev_per_atom": -0.028, "lattice_angstrom": [[4.8832, 0.0000, 0.0000], [0.0000, 4.8832, 0.0000], [0.0000, 0.0000, 5.0268]], "species": ["La", "Mg", "Mg", "Tl", "Co"], "fractional_positions": [[0.0000, 0.0000, 0.0000], [0.0000, 0.5000, 0.5000], [0.5000, 0.0000, 0.5000], [0.5000, 0.5000, 0.0000], [0.5000, 0.5000, 0.5000]]}

=====

Entry 17:
{"formula": "LaMg2TlCo", "functional": "PBE", "state": "relaxed", "relative_energy_mev_per_atom": 0.0, "e_form_ev_per_atom": -0.079, "lattice_angstrom": [[5.0790, 0.0000, 0.0000], [0.0000, 5.0790, 0.0000], [0.0000, 0.0000, 4.9415]], "species": ["La", "Mg", "Mg", "Tl", "Co"], "fractional_positions": [[0.0000, 0.0000, 0.0000], [0.0000, 0.5000, 0.5000], [0.5000, 0.0000, 0.5000], [0.5000, 0.5000, 0.0000], [0.0000, 0.0000, 0.5000]]}

=====

Entry 18:
{"formula": "LaY2MgCo", "functional": "PBE", "state": "relaxed", "relative_energy_mev_per_atom": 40.0, "e_form_ev_per_atom": -0.020, "lattice_angstrom": [[5.1759, 0.0000, 0.0000], [0.0000, 5.1759, 0.0000], [0.0000, 0.0000, 5.2137]], "species": ["La", "Y", "Y", "Mg", "Co"], "fractional_positions": [[0.0000, 0.0000, 0.0000], [0.0000, 0.5000, 0.5000], [0.5000, 0.0000, 0.5000], [0.5000, 0.5000, 0.0000], [0.5000, 0.5000, 0.5000]]}

=====

Entry 19:
{"formula": "LaY2MgCo", "functional": "PBE", "state": "relaxed", "relative_energy_mev_per_atom": 0.0, "e_form_ev_per_atom": -0.060, "lattice_angstrom": [[5.3289, 0.0000, 0.0000], [0.0000, 5.3289, 0.0000], [0.0000, 0.0000, 5.2398]], "species": ["La", "Y", "Y", "Mg", "Co"], "fractional_positions": [[0.0000, 0.0000, 0.0000], [0.0000, 0.5000, 0.5000], [0.5000, 0.0000, 0.5000], [0.5000, 0.5000, 0.0000], [0.0000, 0.0000, 0.5000]]}

=====

Entry 20:
{"formula": "LaMg2ZnCo", "functional": "PBE", "state": "relaxed", "relative_energy_mev_per_atom": 0.0, "e_form_ev_per_atom": -0.014, "lattice_angstrom": [[4.7942, 0.0000, 0.0000], [0.0000, 4.7942, 0.0000], [0.0000, 0.0000, 4.7662]], "species": ["La", "Mg", "Mg", "Zn", "Co"], "fractional_positions": [[0.0000, 0.0000, 0.0000], [0.0000, 0.5000, 0.5000], [0.5000, 0.0000, 0.5000], [0.5000, 0.5000, 0.0000], [0.5000, 0.5000, 0.5000]]}

=====

| no. | total moment (μB/f.u.) | DFT total energy (eV/atom) | theoretical density (g/cm³) |
| --- | --- | --- | --- |
| 1 | 0.5 | -4.514 | 6.18 |
| 2 | 3.1 | -4.054 | 5.44 |
| 3 | 0.0 | -4.040 | 5.22 |
| 4 | 0.0 | -4.599 | 6.42 |
| 5 | 0.0 | -4.814 | 5.69 |
| 6 | 0.0 | -4.881 | 5.88 |
| 7 | 0.2 | -3.040 | 3.96 |
| 8 | 0.0 | -3.444 | 3.94 |
| 9 | 0.0 | -4.055 | 4.44 |
| 10 | 0.0 | -4.093 | 4.69 |
| 11 | 0.0 | -3.300 | 3.69 |
| 12 | 0.0 | -5.081 | 5.27 |
| 13 | 0.0 | -4.975 | 6.01 |
| 14 | 0.0 | -4.417 | 6.77 |
| 15 | 0.0 | -4.339 | 6.60 |
| 16 | 0.4 | -3.546 | 6.25 |
| 17 | 0.0 | -3.597 | 5.87 |
| 18 | 0.0 | -5.331 | 4.75 |
| 19 | 0.0 | -5.371 | 4.46 |
| 20 | 0.0 | -3.313 | 4.73 |